KIr2W: relaxed, GGA-PBE.

abc: 6.5044 6.5044 6.5044
angles: 90.00 90.00 90.00
Closest atoms and distances in Å follow each position.
Sites, in units of the cell vectors:
1 K 0.0000 0.0000 0.0000  8 Ir 2.82
2 K 0.0000 0.5000 0.5000  8 Ir 2.82
3 K 0.5000 0.0000 0.5000  8 Ir 2.82
4 K 0.5000 0.5000 0.0000  8 Ir 2.82
5 Ir 0.2500 0.2500 0.2500  4 W 2.82, 4 K 2.82
6 Ir 0.2500 0.2500 0.7500  4 W 2.82, 4 K 2.82
7 Ir 0.2500 0.7500 0.2500  4 W 2.82, 4 K 2.82
8 Ir 0.2500 0.7500 0.7500  4 W 2.82, 4 K 2.82
9 Ir 0.7500 0.2500 0.2500  4 W 2.82, 4 K 2.82
10 Ir 0.7500 0.2500 0.7500  4 W 2.82, 4 K 2.82
11 Ir 0.7500 0.7500 0.2500  4 W 2.82, 4 K 2.82
12 Ir 0.7500 0.7500 0.7500  4 K 2.82, 4 W 2.82
13 W 0.0000 0.0000 0.5000  8 Ir 2.82
14 W 0.0000 0.5000 0.0000  8 Ir 2.82
15 W 0.5000 0.0000 0.0000  8 Ir 2.82
16 W 0.5000 0.5000 0.5000  8 Ir 2.82

Output
DOS at the Fermi energy = 16.8 states/eV/cell
formation enthalpy at 0 K = 1.07 eV per atom

---

YHo2Te: relaxed, GGA-PBE.

abc: 3.7930 3.7930 32.2565
angles: 90.00 90.00 120.00
Closest atoms and distances in Å follow each position.
Sites, in units of the cell vectors:
1 Y 0.0000 0.0000 0.0000  2 Ho 3.31
2 Y 0.3333 0.6667 0.6667  2 Ho 3.31
3 Y 0.6667 0.3333 0.3333  2 Ho 3.31
4 Ho 0.0000 0.0000 0.1025  3 Te 3.01, 1 Y 3.31
5 Ho 0.0000 0.0000 0.8975  3 Te 3.01, 1 Y 3.31
6 Ho 0.3333 0.6667 0.5641  3 Te 3.01, 1 Y 3.31
7 Ho 0.3333 0.6667 0.7692  3 Te 3.01, 1 Y 3.31
8 Ho 0.6667 0.3333 0.2308  3 Te 3.01, 1 Y 3.31
9 Ho 0.6667 0.3333 0.4359  3 Te 3.01, 1 Y 3.31
10 Te 0.0000 0.0000 0.5000  6 Ho 3.01
11 Te 0.3333 0.6667 0.1667  6 Ho 3.01
12 Te 0.6667 0.3333 0.8333  6 Ho 3.01

Output
DOS at the Fermi energy = 17.8 states/eV/cell
formation energy (no corrections) = -0.199 eV/atom

---

RbTe2IrN: relaxed, GGA-PBE.

abc: 5.9947 5.9947 3.6608
angles: 90.00 90.00 90.00
Closest atoms and distances in Å follow each position.
Sites, in units of the cell vectors:
1 Rb 0.0000 0.0000 0.0000  8 Te 3.51, 2 Rb 3.66
2 Te 0.0000 0.5000 0.5000  2 Ir 3.00
3 Te 0.5000 0.0000 0.5000  2 Ir 3.00
4 Ir 0.5000 0.5000 0.5000  2 N 1.83
5 N 0.5000 0.5000 0.0000  2 Ir 1.83

Output
DOS at the Fermi energy = 2.1 states/eV/cell
formation energy (no corrections) = 0.034 eV/atom

---

KZr2Os: relaxed, GGA-PBE.

abc: 6.9357 6.9357 6.9357
angles: 90.00 90.00 90.00
Closest atoms and distances in Å follow each position.
Sites, in units of the cell vectors:
1 K 0.0000 0.0000 0.0000  8 Zr 3.00
2 K 0.0000 0.5000 0.5000  8 Zr 3.00
3 K 0.5000 0.0000 0.5000  8 Zr 3.00
4 K 0.5000 0.5000 0.0000  8 Zr 3.00
5 Zr 0.2500 0.2500 0.2500  4 K 3.00, 4 Os 3.00
6 Zr 0.2500 0.2500 0.7500  4 K 3.00, 4 Os 3.00
7 Zr 0.2500 0.7500 0.2500  4 K 3.00, 4 Os 3.00
8 Zr 0.2500 0.7500 0.7500  4 K 3.00, 4 Os 3.00
9 Zr 0.7500 0.2500 0.2500  4 K 3.00, 4 Os 3.00
10 Zr 0.7500 0.2500 0.7500  4 K 3.00, 4 Os 3.00
11 Zr 0.7500 0.7500 0.2500  4 K 3.00, 4 Os 3.00
12 Zr 0.7500 0.7500 0.7500  4 Os 3.00, 4 K 3.00
13 Os 0.0000 0.0000 0.5000  8 Zr 3.00
14 Os 0.0000 0.5000 0.0000  8 Zr 3.00
15 Os 0.5000 0.0000 0.0000  8 Zr 3.00
16 Os 0.5000 0.5000 0.5000  8 Zr 3.00

Output
DOS at the Fermi energy = 16.2 states/eV/cell
formation enthalpy at 0 K = 0.62 eV per atom

---

TaTeMo4: relaxed, GGA-PBE.

abc: 5.3143 5.3143 5.3143
angles: 60.00 60.00 60.00
Closest atoms and distances in Å follow each position.
Sites, in units of the cell vectors:
1 Ta 0.0000 0.0000 0.0000  12 Mo 3.12, 4 Te 3.25
2 Te 0.7500 0.7500 0.7500  12 Mo 3.12, 4 Ta 3.25
3 Mo 0.3751 0.3751 0.3751  6 Mo 2.66
4 Mo 0.3751 0.3751 0.8748  6 Mo 2.66
5 Mo 0.3751 0.8748 0.3751  6 Mo 2.66
6 Mo 0.8748 0.3751 0.3751  6 Mo 2.66

Output
DOS at the Fermi energy = 5.4 states/eV/cell
formation energy (no corrections) = 0.361 eV/atom

---

La2Ga4SnPd3: relaxed, GGA-PBE.

abc: 4.3950 4.3950 10.7841
angles: 90.00 90.00 90.00
Closest atoms and distances in Å follow each position.
Sites, in units of the cell vectors:
1 La 0.0000 0.5000 0.2376  8 Ga 3.33-3.38, 6 Pd 3.35-3.58, 2 Sn 3.58
2 La 0.5000 0.0000 0.7624  8 Ga 3.33-3.38, 6 Pd 3.35-3.58, 2 Sn 3.58
3 Ga 0.0000 0.0000 0.0000  4 Pd 2.56
4 Ga 0.0000 0.5000 0.6502  3 Pd 2.47-2.73, 2 Sn 2.73
5 Ga 0.5000 0.0000 0.3498  3 Pd 2.47-2.73, 2 Sn 2.73
6 Ga 0.5000 0.5000 0.0000  4 Pd 2.56
7 Sn 0.0000 0.0000 0.5000  4 Ga 2.73
8 Pd 0.0000 0.5000 0.8788  5 Ga 2.47-2.56
9 Pd 0.5000 0.0000 0.1212  5 Ga 2.47-2.56
10 Pd 0.5000 0.5000 0.5000  4 Ga 2.73

Output
DOS at the Fermi energy = 8.1 states/eV/cell
formation enthalpy at 0 K = -0.76 eV per atom

---

| no. | calculated volume (A^3/atom) |
| --- | --- |
| 1 | 17.199 |
| 2 | 33.491 |
| 3 | 26.311 |
| 4 | 20.852 |
| 5 | 17.687 |
| 6 | 20.831 |